Record 1
A relaxed HfTlZnO2 crystal. Source: the Alexandria database, functional GGA-PBE.

Output
Fermi-level density of states   1.0608 states/eV per atom
Crystal system   tetragonal
Raw formation energy   2.14 eV/f.u.
Space-group type   P4/mmm, No. 123
VASP energy   -0.1571 hartree per atom

Lattice parameters (Å, degrees): 4.262 5.106 4.262 90.00 90.00 90.00
Element x y z (fractional)
O: 0.000 0.000 0.500
O: 0.500 0.000 0.000
Tl: 0.000 0.000 0.000
Zn: 0.000 0.500 0.000
Hf: 0.500 0.500 0.500

=====

Record 2
A relaxed Hf2ZrTlO crystal. Source: the Alexandria database, functional GGA-PBE.

Output
Fermi-level density of states   0.8028 states/eV per atom
Crystal system   tetragonal
Raw formation energy   -4.51 eV/f.u.
Space-group type   P4/mmm, No. 123
VASP energy   -0.2961 hartree per atom

Lattice parameters (Å, degrees): 4.362 4.362 4.826 90.00 90.00 90.00
Element x y z (fractional)
Hf: 0.000 0.500 0.000
Hf: 0.500 0.000 0.000
O: 0.000 0.000 0.000
Zr: 0.000 0.000 0.500
Tl: 0.500 0.500 0.500

=====

Record 3
A relaxed Tm2HfO crystal. Source: the Alexandria database, functional GGA-PBE.

Output
Fermi-level density of states   0.4643 states/eV per atom
Crystal system   trigonal
Raw formation energy   -4.23 eV/f.u.
Space-group type   R-3m, No. 166
VASP energy   -0.2580 hartree per atom

Lattice parameters (Å, degrees): 3.268 3.268 9.163 79.73 79.73 60.00
Element x y z (fractional)
Tm: 0.116 0.116 0.653
Tm: 0.884 0.884 0.347
Hf: 0.000 0.000 0.000
O: 0.500 0.500 0.500

=====

| no. | size of the total moment (μB per cell) | V (A^3/atom) |
| --- | --- | --- |
| 1 | 0.00 | 18.549 |
| 2 | 0.00 | 18.362 |
| 3 | 0.00 | 20.735 |